[1]
{"formula": "LiMgBeRh", "functional": "PBE-GGA", "state": "relaxed", "cell": [[4.213, 0.000, 0.000], [2.107, 3.649, 0.000], [2.107, 1.216, 3.440]], "species": ["Be", "Rh", "Li", "Mg"], "frac_coords": [[0.250, 0.250, 0.250], [0.500, 0.500, 0.500], [0.000, 0.000, 0.000], [0.750, 0.750, 0.750]], "vol_a3_per_fu": 52.9, "formation_energy_kj_per_mol_atoms": -23.47, "m_tot_mub_per_cell": 0.00, "energy_ev_per_atom": -3.89, "dos_ef_per_ev_cell": 1.491}

=====

[2]
{"formula": "LiMgScBe", "functional": "PBE-GGA", "state": "relaxed", "cell": [[-1.553, -4.116, 1.193], [0.388, -1.420, 4.314], [-3.711, -0.364, 2.622]], "species": ["Sc", "Li", "Be", "Mg"], "frac_coords": [[0.250, 0.250, 0.250], [0.000, 0.000, 0.000], [0.500, 0.500, 0.500], [0.750, 0.750, 0.750]], "vol_a3_per_fu": 67.0, "formation_energy_kj_per_mol_atoms": 4.04, "m_tot_mub_per_cell": 0.00, "energy_ev_per_atom": -3.35, "dos_ef_per_ev_cell": 1.286}

=====

[3]
{"formula": "LiMg2TaBe", "functional": "PBE-GGA", "state": "relaxed", "cell": [[4.540, 0.000, 0.000], [0.000, 4.226, 0.000], [0.000, 0.000, 4.540]], "species": ["Li", "Be", "Ta", "Mg", "Mg"], "frac_coords": [[0.000, 0.500, 0.000], [0.000, 0.000, 0.000], [0.500, 0.500, 0.500], [0.000, 0.000, 0.500], [0.500, 0.000, 0.000]], "vol_a3_per_fu": 87.1, "formation_energy_kj_per_mol_atoms": 87.29, "m_tot_mub_per_cell": 0.00, "energy_ev_per_atom": -3.23, "dos_ef_per_ev_cell": 2.704}

=====

[4]
{"formula": "Li2MgBeZn", "functional": "PBE-GGA", "state": "relaxed", "cell": [[-2.404, -2.793, -2.762], [3.436, -2.534, -0.428], [-1.352, -2.451, 3.657]], "species": ["Mg", "Be", "Li", "Zn", "Li"], "frac_coords": [[0.500, 0.500, 0.500], [0.000, 0.500, 0.000], [0.000, 0.000, 0.500], [0.000, 0.000, 0.000], [0.500, 0.000, 0.000]], "vol_a3_per_fu": 91.0, "formation_energy_kj_per_mol_atoms": 31.00, "m_tot_mub_per_cell": 0.00, "energy_ev_per_atom": -1.76, "dos_ef_per_ev_cell": 1.707}

=====

[5]
{"formula": "LiMgZr2Be", "functional": "PBE-GGA", "state": "relaxed", "cell": [[5.155, 0.000, 0.000], [0.000, 4.214, 0.000], [0.000, 0.000, 5.155]], "species": ["Be", "Li", "Zr", "Zr", "Mg"], "frac_coords": [[0.500, 0.500, 0.500], [0.000, 0.500, 0.000], [0.000, 0.000, 0.500], [0.500, 0.000, 0.000], [0.000, 0.000, 0.000]], "vol_a3_per_fu": 112.0, "formation_energy_kj_per_mol_atoms": 123.98, "m_tot_mub_per_cell": 0.00, "energy_ev_per_atom": -3.58, "dos_ef_per_ev_cell": 5.471}

=====

[6]
{"formula": "LiMnBe3", "functional": "PBE-GGA", "state": "relaxed", "cell": [[-0.957, 4.035, -0.328], [-3.604, -1.002, -1.820], [-1.845, -0.135, 3.726]], "species": ["Be", "Li", "Mn", "Be", "Be"], "frac_coords": [[0.500, 0.000, 0.000], [0.500, 0.500, 0.500], [0.000, 0.000, 0.000], [0.000, 0.500, 0.000], [0.000, 0.000, 0.500]], "vol_a3_per_fu": 72.0, "formation_energy_kj_per_mol_atoms": 83.06, "m_tot_mub_per_cell": 1.57, "energy_ev_per_atom": -3.59, "dos_ef_per_ev_cell": 3.247}